A relaxed Ba4TlGa crystal, computed with PBE-GGA.

Output
Fermi-level density of states, states/eV per cell: 20.0
Energy above the most stable polymorph in this dataset, meV/atom: 158
Space group: Cmmm, No. 65
Formation energy, eV per atom: -0.12
M_tot, μB/f.u.: 0.48

a = 11.3538 Å, b = 11.5488 Å, c = 5.1960 Å
α = 90.00°, β = 90.00°, γ = 90.00°
Sites, in units of the cell vectors:
1 Ba 0.0000 0.2113 0.0000
2 Ba 0.0000 0.7887 0.0000
3 Ba 0.1926 0.5000 0.5000
4 Ba 0.3074 0.0000 0.5000
5 Ba 0.5000 0.2887 0.0000
6 Ba 0.5000 0.7113 0.0000
7 Ba 0.6926 0.0000 0.5000
8 Ba 0.8074 0.5000 0.5000
9 Tl 0.0000 0.0000 0.5000
10 Tl 0.5000 0.5000 0.5000
11 Ga 0.0000 0.5000 0.0000
12 Ga 0.5000 0.0000 0.0000

=====

A relaxed Ba4TlGa crystal, computed with PBE-GGA.

Output
Fermi-level density of states, states/eV per cell: 5.0
Energy above the most stable polymorph in this dataset, meV/atom: 0
Space group: P4/mmm, No. 123
Formation energy, eV per atom: -0.28
M_tot, μB/f.u.: 0.00

a = 4.2721 Å, b = 4.2721 Å, c = 15.1492 Å
α = 90.00°, β = 90.00°, γ = 90.00°
Sites, in units of the cell vectors:
1 Ba 0.0000 0.0000 0.1234
2 Ba 0.0000 0.0000 0.8766
3 Ba 0.5000 0.5000 0.3652
4 Ba 0.5000 0.5000 0.6348
5 Tl 0.0000 0.0000 0.5000
6 Ga 0.5000 0.5000 0.0000

=====

A relaxed BaTl2Ga crystal, computed with PBE-GGA.

Output
Fermi-level density of states, states/eV per cell: 8.8
Energy above the most stable polymorph in this dataset, meV/atom: 0
Space group: Fm-3m, No. 225
Formation energy, eV per atom: -0.19
M_tot, μB/f.u.: 0.00

a = 7.9316 Å, b = 7.9316 Å, c = 7.9316 Å
α = 90.00°, β = 90.00°, γ = 90.00°
Sites, in units of the cell vectors:
1 Ba 0.0000 0.0000 0.0000
2 Ba 0.0000 0.5000 0.5000
3 Ba 0.5000 0.0000 0.5000
4 Ba 0.5000 0.5000 0.0000
5 Tl 0.2500 0.2500 0.2500
6 Tl 0.2500 0.2500 0.7500
7 Tl 0.2500 0.7500 0.2500
8 Tl 0.2500 0.7500 0.7500
9 Tl 0.7500 0.2500 0.2500
10 Tl 0.7500 0.2500 0.7500
11 Tl 0.7500 0.7500 0.2500
12 Tl 0.7500 0.7500 0.7500
13 Ga 0.0000 0.0000 0.5000
14 Ga 0.0000 0.5000 0.0000
15 Ga 0.5000 0.0000 0.0000
16 Ga 0.5000 0.5000 0.5000

=====

A relaxed Ba2TlVGa crystal, computed with PBE-GGA.

Output
Fermi-level density of states, states/eV per cell: 7.8
Space group: P4/mmm, No. 123
Formation energy, eV per atom: 0.94
M_tot, μB/f.u.: 0.85

a = 6.6443 Å, b = 6.6443 Å, c = 5.1326 Å
α = 90.00°, β = 90.00°, γ = 90.00°
Sites, in units of the cell vectors:
1 Ba 0.0000 0.5000 0.0000
2 Ba 0.5000 0.0000 0.0000
3 Tl 0.0000 0.0000 0.0000
4 V 0.5000 0.5000 0.5000
5 Ga 0.0000 0.0000 0.5000

=====

A relaxed Ba2TlGaW crystal, computed with PBE-GGA.

Output
Fermi-level density of states, states/eV per cell: 5.6
Space group: P4/mmm, No. 123
Formation energy, eV per atom: 0.83
M_tot, μB/f.u.: 0.15

a = 5.9217 Å, b = 5.9217 Å, c = 5.4633 Å
α = 90.00°, β = 90.00°, γ = 90.00°
Sites, in units of the cell vectors:
1 Ba 0.0000 0.5000 0.0000
2 Ba 0.5000 0.0000 0.0000
3 Tl 0.0000 0.0000 0.5000
4 Ga 0.5000 0.5000 0.5000
5 W 0.0000 0.0000 0.0000

=====

A relaxed Ba2TlZn4Ga3 crystal, computed with PBE-GGA.

Output
Fermi-level density of states, states/eV per cell: 4.5
Space group: P-4m2, No. 115
Formation energy, eV per atom: -0.29
M_tot, μB/f.u.: 0.00

a = 4.6320 Å, b = 4.6320 Å, c = 11.1436 Å
α = 90.00°, β = 90.00°, γ = 90.00°
Sites, in units of the cell vectors:
1 Ba 0.0000 0.5000 0.2402
2 Ba 0.5000 0.0000 0.7598
3 Tl 0.0000 0.0000 0.5000
4 Zn 0.0000 0.0000 0.0000
5 Zn 0.0000 0.5000 0.6434
6 Zn 0.5000 0.0000 0.3566
7 Zn 0.5000 0.5000 0.0000
8 Ga 0.0000 0.5000 0.8797
9 Ga 0.5000 0.0000 0.1203
10 Ga 0.5000 0.5000 0.5000

=====

A relaxed Ba2ZrTlGa crystal, computed with PBE-GGA.

Output
Fermi-level density of states, states/eV per cell: 6.9
Space group: P4/mmm, No. 123
Formation energy, eV per atom: 0.44
M_tot, μB/f.u.: 0.57

a = 6.2745 Å, b = 6.2745 Å, c = 5.2769 Å
α = 90.00°, β = 90.00°, γ = 90.00°
Sites, in units of the cell vectors:
1 Ba 0.0000 0.5000 0.0000
2 Ba 0.5000 0.0000 0.0000
3 Zr 0.0000 0.0000 0.0000
4 Tl 0.5000 0.5000 0.5000
5 Ga 0.0000 0.0000 0.5000

=====

A relaxed BaTmGa crystal, computed with PBE-GGA.

Output
Fermi-level density of states, states/eV per cell: 2.8
Space group: P4/nmm, No. 129
Formation energy, eV per atom: -0.35
M_tot, μB/f.u.: 0.00

a = 5.0767 Å, b = 5.0767 Å, c = 7.8636 Å
α = 90.00°, β = 90.00°, γ = 90.00°
Sites, in units of the cell vectors:
1 Ba 0.2500 0.2500 0.1319
2 Ba 0.7500 0.7500 0.8681
3 Tm 0.2500 0.7500 0.5000
4 Tm 0.7500 0.2500 0.5000
5 Ga 0.2500 0.2500 0.6999
6 Ga 0.7500 0.7500 0.3001

=====

> formation energy of number 8 (BaTmGa)?

-0.35 eV per atom